Entry 1:
## MnTeBr2 (PBE-GGA)

Data for an optimized crystal structure of MnTeBr2.

a b c (Å): 3.297 3.297 11.843
angles (deg): 90.00 90.00 90.00
Site moments in Bohr magnetons follow the coordinates.
Element x y z (fractional)
1 Br 0.000 0.000 0.110  0.14
2 Br 0.000 0.000 0.390  0.14
3 Te 0.500 0.500 0.750  0.00
4 Mn 0.500 0.500 0.250  4.37

Computed properties:
offset from the most stable computed form = 183 meV/atom
final energy = -4.081 eV per atom
E_form (uncorrected) = -0.17 eV per atom
total moment = 5.0 μB/f.u.

Entry 2:
## MnTeBr2 (PBE-GGA)

Data for an optimized crystal structure of MnTeBr2.

a b c (Å): 9.043 9.043 9.043
angles (deg): 24.50 24.50 24.50
Site moments in Bohr magnetons follow the coordinates.
Element x y z (fractional)
1 Br 0.017 0.017 0.017  -0.29
2 Br 0.219 0.219 0.219  0.02
3 Te 0.767 0.767 0.767  -0.34
4 Mn 0.497 0.497 0.497  3.65

Computed properties:
offset from the most stable computed form = 64 meV/atom
final energy = -4.201 eV per atom
E_form (uncorrected) = -0.29 eV per atom
total moment = 3.0 μB/f.u.

Entry 3:
## Mn2TeBr (PBE-GGA)

Data for an optimized crystal structure of Mn2TeBr.

a b c (Å): 4.007 6.389 3.783
angles (deg): 90.00 90.00 90.00
Site moments in Bohr magnetons follow the coordinates.
Element x y z (fractional)
1 Mn 0.500 0.500 0.000  4.16
2 Mn 0.000 0.000 0.000  4.02
3 Br 0.000 0.500 0.500  0.08
4 Te 0.500 0.000 0.500  0.06

Computed properties:
offset from the most stable computed form = 312 meV/atom
final energy = -5.541 eV per atom
E_form (uncorrected) = 0.25 eV per atom
total moment = 9.0 μB/f.u.

Entry 4:
## MnTe2Br (PBE-GGA)

Data for an optimized crystal structure of MnTe2Br.

a b c (Å): 6.615 4.209 4.209
angles (deg): 90.00 90.00 90.00
Site moments in Bohr magnetons follow the coordinates.
Element x y z (fractional)
1 Br 0.500 0.500 0.000  0.04
2 Te 0.000 0.500 0.500  0.03
3 Te 0.000 0.000 0.000  0.03
4 Mn 0.500 0.000 0.500  4.48

Computed properties:
offset from the most stable computed form = 453 meV/atom
final energy = -4.074 eV per atom
E_form (uncorrected) = 0.21 eV per atom
total moment = 5.1 μB/f.u.

Entry 5:
## Mn2TeBr (PBE-GGA)

Data for an optimized crystal structure of Mn2TeBr.

a b c (Å): 3.646 3.865 6.836
angles (deg): 90.00 90.00 90.00
Site moments in Bohr magnetons follow the coordinates.
Element x y z (fractional)
1 Te 0.500 0.250 0.250  0.05
2 Mn 0.000 0.750 0.444  3.96
3 Mn 0.000 0.750 0.056  3.96
4 Br 0.500 0.750 0.750  0.07

Computed properties:
offset from the most stable computed form = 82 meV/atom
final energy = -5.772 eV per atom
E_form (uncorrected) = 0.02 eV per atom
total moment = 8.7 μB/f.u.

Entry 6:
## Mn2TeBr (PBE-GGA)

Data for an optimized crystal structure of Mn2TeBr.

a b c (Å): 5.073 4.475 4.451
angles (deg): 79.25 90.00 90.00
Site moments in Bohr magnetons follow the coordinates.
Element x y z (fractional)
1 Mn 0.000 0.002 0.995  4.05
2 Mn 0.500 0.238 0.257  4.03
3 Te 0.000 0.404 0.397  0.05
4 Br 0.500 0.856 0.851  0.12

Computed properties:
offset from the most stable computed form = 62 meV/atom
final energy = -5.791 eV per atom
E_form (uncorrected) = 0.00 eV per atom
total moment = 9.0 μB/f.u.

Entry 7:
## MnTe2Br (PBE-GGA)

Data for an optimized crystal structure of MnTe2Br.

a b c (Å): 3.198 3.198 9.641
angles (deg): 90.00 90.00 90.02
Site moments in Bohr magnetons follow the coordinates.
Element x y z (fractional)
1 Mn 0.500 0.500 0.750  1.89
2 Te 0.000 0.000 0.919  -0.15
3 Te 0.000 0.000 0.581  -0.15
4 Br 0.500 0.500 0.250  -0.09

Computed properties:
offset from the most stable computed form = 381 meV/atom
final energy = -4.146 eV per atom
E_form (uncorrected) = 0.14 eV per atom
total moment = 1.4 μB/f.u.

Entry 8:
## Mn2TeBr (PBE-GGA)

Data for an optimized crystal structure of Mn2TeBr.

a b c (Å): 9.155 9.155 9.155
angles (deg): 22.26 22.26 22.26
Site moments in Bohr magnetons follow the coordinates.
Element x y z (fractional)
1 Te 0.529 0.529 0.529  -0.14
2 Mn 0.994 0.994 0.994  3.91
3 Mn 0.254 0.254 0.254  2.76
4 Br 0.722 0.722 0.722  0.07

Computed properties:
offset from the most stable computed form = 124 meV/atom
final energy = -5.730 eV per atom
E_form (uncorrected) = 0.06 eV per atom
total moment = 6.8 μB/f.u.

What did the sixth record say?
## Mn2TeBr (PBE-GGA)

Data for an optimized crystal structure of Mn2TeBr.

a b c (Å): 5.073 4.475 4.451
angles (deg): 79.25 90.00 90.00
Site moments in Bohr magnetons follow the coordinates.
Element x y z (fractional)
1 Mn 0.000 0.002 0.995  4.05
2 Mn 0.500 0.238 0.257  4.03
3 Te 0.000 0.404 0.397  0.05
4 Br 0.500 0.856 0.851  0.12

Computed properties:
offset from the most stable computed form = 62 meV/atom
final energy = -5.791 eV per atom
E_form (uncorrected) = 0.00 eV per atom
total moment = 9.0 μB/f.u.

Number 2 is which compound? MnTeBr2